Entry 1:
VASP calculation (PBE) on an optimized crystal structure of SrAg4Pt2.

Properties
Symmetry   I4/mmm, No. 139
Final energy   -2.803 eV/atom
ΔE_f   0.792 eV/atom

Lattice parameters (Å, degrees): 5.2418 5.2418 8.0222 70.93 70.93 90.00
Element x y z (fractional)
Pt1 0.4089 0.4089 0.1823
Ag1 0.7772 0.7772 0.4456
Sr1 0.0000 0.0000 0.0000
Ag2 0.0000 0.5000 0.0000
Pt2 0.5911 0.5911 0.8177
Ag3 0.2228 0.2228 0.5544
Ag4 0.5000 0.0000 0.0000


Entry 2:
VASP calculation (PBE) on an optimized crystal structure of SrAgPt2.

Properties
Symmetry   Imm2, No. 44
Final energy   -4.396 eV/atom
ΔE_f   -0.242 eV/atom

Lattice parameters (Å, degrees): 5.3469 5.3469 5.3469 134.57 130.87 69.13
Element x y z (fractional)
Sr1 0.5040 0.5040 0.0000
Ag1 0.2428 0.7428 0.5000
Pt1 0.9903 0.9903 0.0000
Pt2 0.7630 0.2630 0.5000


Entry 3:
VASP calculation (PBE) on an optimized crystal structure of Sr6AgPt3.

Properties
Symmetry   P2_1/m, No. 11
Final energy   -3.698 eV/atom
ΔE_f   -0.591 eV/atom

Lattice parameters (Å, degrees): 4.3832 10.8983 15.2942 110.08 90.00 90.00
Element x y z (fractional)
Sr1 0.7500 0.1365 0.4247
Pt1 0.7500 0.0941 0.0253
Sr2 0.2500 0.4826 0.3888
Pt2 0.2500 0.9059 0.9747
Sr3 0.2500 0.2689 0.6937
Sr4 0.2500 0.5698 0.9172
Pt3 0.7500 0.3468 0.8540
Ag1 0.2500 0.9274 0.2694
Sr5 0.7500 0.8462 0.8336
Sr6 0.7500 0.8341 0.0935
Sr7 0.2500 0.1659 0.9065
Sr8 0.2500 0.1538 0.1664
Sr9 0.2500 0.8635 0.5753
Pt4 0.7500 0.6735 0.4827
Ag2 0.7500 0.0726 0.7306
Sr10 0.7500 0.4302 0.0828
Sr11 0.7500 0.7311 0.3063
Sr12 0.7500 0.5174 0.6112
Pt5 0.2500 0.6532 0.1460
Pt6 0.2500 0.3265 0.5173


Entry 4:
VASP calculation (PBE) on an optimized crystal structure of SrAgPt.

Properties
Symmetry   P2_1/c, No. 14
Final energy   -4.060 eV/atom
ΔE_f   -0.535 eV/atom

Lattice parameters (Å, degrees): 5.7592 6.6964 8.0932 111.29 90.00 90.00
Element x y z (fractional)
Pt1 0.3840 0.8212 0.9705
Pt2 0.6160 0.1788 0.0295
Sr1 0.8892 0.8123 0.1238
Pt3 0.1160 0.8212 0.4705
Ag1 0.5969 0.4210 0.8048
Ag2 0.0969 0.5790 0.6952
Sr2 0.1108 0.1877 0.8762
Sr3 0.3892 0.1877 0.3762
Ag3 0.9031 0.4210 0.3048
Pt4 0.8840 0.1788 0.5295
Ag4 0.4031 0.5790 0.1952
Sr4 0.6108 0.8123 0.6238


Entry 5:
VASP calculation (PBE) on an optimized crystal structure of SrAgPt.

Properties
Symmetry   P-6m2, No. 187
Final energy   -3.985 eV/atom
ΔE_f   -0.460 eV/atom

Lattice parameters (Å, degrees): 4.6438 4.6438 4.0511 90.00 90.00 120.00
Element x y z (fractional)
Ag1 0.0000 0.0000 0.1667
Pt1 0.6667 0.3333 0.1665
Sr1 0.3333 0.6667 0.6667


Entry 6:
VASP calculation (PBE) on an optimized crystal structure of SrAgPt3.

Properties
Symmetry   Pm-3m, No. 221
Final energy   -3.031 eV/atom
ΔE_f   1.500 eV/atom

Lattice parameters (Å, degrees): 5.2175 5.2175 5.2175 90.00 90.00 90.00
Element x y z (fractional)
Pt1 0.0000 0.0000 0.5000
Pt2 0.0000 0.5000 0.0000
Sr1 0.0000 0.0000 0.0000
Pt3 0.5000 0.0000 0.0000
Ag1 0.5000 0.5000 0.5000